Entry 1:
Computed, not measured: crystalline ReBr2Cl at its relaxed geometry at the PBE level of DFT.

Cell: 7.5048 7.5048 7.5048 Å, 156.13 141.58 45.73°
Element x y z (fractional)
Re  0.0000  0.0000  0.0000
Br  0.5009  0.5009  0.0000
Br  0.8519  0.3519  0.5000
Cl  0.1371  0.6371  0.5000

Summary:
Size of the total moment = 0.25 μB/atom
Crystal system = orthorhombic
Relative energy among the computed polymorphs = 0.304 eV per atom
E_tot = -16.68 eV/cell

Entry 2:
Computed, not measured: crystalline NaPBr3 at its relaxed geometry at the PBE level of DFT.

Cell: 5.3509 8.4569 9.8322 Å, 83.90 86.29 89.52°
Element x y z (fractional)
Na  0.2479  0.1478  0.4911
Na  0.7521  0.8522  0.5089
P  0.3353  0.4344  0.0572
P  0.6647  0.5656  0.9428
Br  0.2592  0.8226  0.4341
Br  0.3681  0.2228  0.9383
Br  0.4557  0.6482  0.7536
Br  0.5443  0.3518  0.2464
Br  0.6319  0.7772  0.0617
Br  0.7408  0.1774  0.5659

Summary:
Size of the total moment = 0.00 μB/atom
Crystal system = triclinic
Relative energy among the computed polymorphs = 0.000 eV per atom
E_tot = -30.75 eV/cell

Entry 3:
Computed, not measured: crystalline VI3 at its relaxed geometry at the PBE level of DFT.

Cell: 5.5487 5.5487 5.5487 Å, 60.00 60.00 60.00°
Element x y z (fractional)
V  0.0000  0.0000  0.0000
I  0.2500  0.2500  0.2500
I  0.5000  0.5000  0.5000
I  0.7500  0.7500  0.7500

Summary:
Size of the total moment = 0.51 μB/atom
Crystal system = cubic
E_tot = -11.56 eV/cell

Entry 4:
Computed, not measured: crystalline Th4SbSe3 at its relaxed geometry at the PBE level of DFT.

Cell: 4.3549 6.0740 8.4257 Å, 90.00 90.00 90.00°
Element x y z (fractional)
Th  0.0000  0.0000  0.0000
Th  0.0000  0.0000  0.5000
Th  0.5000  0.5000  0.2340
Th  0.5000  0.5000  0.7660
Sb  0.0000  0.5000  0.5000
Se  0.0000  0.5000  0.0000
Se  0.5000  0.0000  0.2498
Se  0.5000  0.0000  0.7502

Summary:
Size of the total moment = 0.00 μB/atom
Crystal system = orthorhombic
E_tot = -55.11 eV/cell

Entry 5:
Computed, not measured: crystalline Mg4IrRu at its relaxed geometry at the PBE level of DFT.

Cell: 5.2255 5.2255 5.2255 Å, 60.00 60.00 60.00°
Element x y z (fractional)
Mg  0.1250  0.1250  0.1250
Mg  0.1250  0.1250  0.6250
Mg  0.1250  0.6250  0.1250
Mg  0.6250  0.1250  0.1250
Ir  0.5000  0.5000  0.5000
Ru  0.7500  0.7500  0.7500

Summary:
Formation energy = 2.653 eV/f.u.
Size of the total moment = 0.06 μB/atom
Crystal system = cubic
E_tot = -21.86 eV/cell

Entry 6:
Computed, not measured: crystalline TaMo3H4 at its relaxed geometry at the PBE level of DFT.

Cell: 4.1776 4.1776 4.1776 Å, 90.00 90.00 90.00°
Element x y z (fractional)
Ta  0.0000  0.0000  0.0000
Mo  0.0000  0.5000  0.5000
Mo  0.5000  0.0000  0.5000
Mo  0.5000  0.5000  0.0000
H  0.0000  0.0000  0.5000
H  0.0000  0.5000  0.0000
H  0.5000  0.0000  0.0000
H  0.5000  0.5000  0.5000

Summary:
Size of the total moment = 0.00 μB/atom
Crystal system = cubic
E_tot = -57.80 eV/cell

Entry 7:
Computed, not measured: crystalline RbPmPb2Br8 at its relaxed geometry at the PBE level of DFT.

Cell: 6.9450 7.3181 9.4134 Å, 89.97 89.94 89.10°
Element x y z (fractional)
Rb  0.0000  0.0000  0.0000
Pm  0.0000  0.0000  0.5000
Pb  0.4999  0.5001  0.2486
Pb  0.5001  0.4999  0.7514
Br  0.2438  0.3242  0.5002
Br  0.2451  0.8428  0.7162
Br  0.2457  0.8435  0.2836
Br  0.2695  0.3773  0.0003
Br  0.7305  0.6227  0.9997
Br  0.7543  0.1565  0.7164
Br  0.7549  0.1572  0.2838
Br  0.7562  0.6758  0.4998

Summary:
Size of the total moment = 0.00 μB/atom
Crystal system = triclinic
E_tot = -42.81 eV/cell

Entry 8:
Computed, not measured: crystalline Cr3AsW at its relaxed geometry at the PBE level of DFT.

Cell: 4.7016 4.7016 4.7016 Å, 90.00 90.00 90.00°
Element x y z (fractional)
Cr  0.0000  0.0000  0.5000
Cr  0.0000  0.5000  0.0000
Cr  0.5000  0.0000  0.0000
As  0.5000  0.5000  0.5000
W  0.0000  0.0000  0.0000

Summary:
Formation energy = 7.512 eV/f.u.
Size of the total moment = 1.73 μB/atom
Crystal system = cubic
Relative energy among the computed polymorphs = 0.284 eV per atom
E_tot = -38.96 eV/cell

Entry 9:
Computed, not measured: crystalline Be3C at its relaxed geometry at the PBE level of DFT.

Cell: 3.6265 3.6265 3.6265 Å, 133.14 84.16 114.70°
Element x y z (fractional)
Be  0.0000  0.0000  0.0000
Be  0.3080  0.4925  0.8156
Be  0.6769  0.4925  0.1844
C  0.7427  0.2427  0.5000

Summary:
Formation energy = 1.541 eV/f.u.
Size of the total moment = 0.00 μB/atom
Crystal system = orthorhombic
Relative energy among the computed polymorphs = 0.178 eV per atom
E_tot = -18.86 eV/cell

Entry 10:
Computed, not measured: crystalline YAlFe5 at its relaxed geometry at the PBE level of DFT.

Cell: 7.9984 4.8827 10.1666 Å, 90.00 90.00 90.00°
Element x y z (fractional)
Y  0.2390  0.2500  0.0611
Y  0.2610  0.7500  0.5611
Y  0.7390  0.2500  0.4389
Y  0.7610  0.7500  0.9389
Al  0.1433  0.7500  0.8594
Al  0.3567  0.2500  0.3594
Al  0.6433  0.7500  0.6406
Al  0.8567  0.2500  0.1406
Fe  0.0517  0.7500  0.1082
Fe  0.0629  0.0053  0.3114
Fe  0.0629  0.4947  0.3114
Fe  0.0867  0.2500  0.5180
Fe  0.1932  0.2500  0.7518
Fe  0.3068  0.7500  0.2518
Fe  0.4133  0.7500  0.0180
Fe  0.4371  0.5053  0.8114
Fe  0.4371  0.9947  0.8114
Fe  0.4483  0.2500  0.6082
Fe  0.5517  0.7500  0.3918
Fe  0.5629  0.0053  0.1886
Fe  0.5629  0.4947  0.1886
Fe  0.5867  0.2500  0.9820
Fe  0.6932  0.2500  0.7482
Fe  0.8068  0.7500  0.2482
Fe  0.9133  0.7500  0.4820
Fe  0.9371  0.5053  0.6886
Fe  0.9371  0.9947  0.6886
Fe  0.9483  0.2500  0.8918

Summary:
Formation energy = -0.901 eV/f.u.
Size of the total moment = 1.36 μB/atom
Crystal system = orthorhombic
E_tot = -213.68 eV/cell

Entry 11:
Computed, not measured: crystalline V3B2 at its relaxed geometry at the PBE level of DFT.

Cell: 4.4530 4.4530 4.4530 Å, 139.67 114.93 79.41°
Element x y z (fractional)
V  0.0000  0.0000  0.0000
V  0.2880  0.7880  0.5000
V  0.7120  0.2120  0.5000
B  0.3199  0.5000  0.8199
B  0.6801  0.5000  0.1801

Summary:
Formation energy = -2.893 eV/f.u.
Size of the total moment = 0.00 μB/atom
Crystal system = orthorhombic
Relative energy among the computed polymorphs = 0.144 eV per atom
E_tot = -43.60 eV/cell

Entry 12:
Computed, not measured: crystalline HRhSeN2 at its relaxed geometry at the PBE level of DFT.

Cell: 3.7120 3.7120 5.4844 Å, 90.00 90.00 90.00°
Element x y z (fractional)
H  0.0000  0.0000  0.0000
Rh  0.5000  0.5000  0.5000
Se  0.5000  0.5000  0.0000
N  0.0000  0.5000  0.5000
N  0.5000  0.0000  0.5000

Summary:
Size of the total moment = 0.10 μB/atom
Crystal system = tetragonal
Relative energy among the computed polymorphs = 0.000 eV per atom
E_tot = -23.73 eV/cell

Question: What is the formula in the twelfth record?
Answer: HRhSeN2